(1)
Here is an optimized crystal structure of BaSr3P from Alexandria. Energies are from PBEsol.

Unit cell a=6.0471 b=6.0471 c=6.0471 alpha=90.00 beta=90.00 gamma=90.00
Closest atoms and distances in Å follow each position.
Positions (direct):
Sr (0.0000, 0.5000, 0.0000)  2 P 3.02
Sr (0.0000, 0.0000, 0.5000)  2 P 3.02
Sr (0.5000, 0.0000, 0.0000)  2 P 3.02
Ba (0.5000, 0.5000, 0.5000)  12 Sr 4.28
P (0.0000, 0.0000, 0.0000)  6 Sr 3.02

Properties
Energy relative to the lowest polymorph listed for this composition = 0 meV/atom
Energy of formation = -429 meV/atom
Total energy = -15.61 eV/cell
N(E_F) = 4.5 states/eV/cell


(2)
Here is an optimized crystal structure of Mg2GeRh2 from Alexandria. Energies are from PBEsol.

Unit cell a=4.2253 b=6.2260 c=6.2260 alpha=90.00 beta=90.00 gamma=90.00
Closest atoms and distances in Å follow each position.
Positions (direct):
Ge (0.0000, 0.0000, 0.0000)  4 Rh 2.37
Ge (0.0000, 0.5000, 0.5000)  4 Rh 2.37
Rh (0.0000, 0.3512, 0.8512)  2 Ge 2.37, 1 Rh 2.62
Rh (0.0000, 0.8512, 0.6488)  2 Ge 2.37, 1 Rh 2.62
Rh (0.0000, 0.6488, 0.1488)  2 Ge 2.37, 1 Rh 2.62
Rh (0.0000, 0.1488, 0.3512)  2 Ge 2.37, 1 Rh 2.62
Mg (0.5000, 0.1625, 0.6625)  6 Rh 2.69-2.87, 1 Mg 2.86
Mg (0.5000, 0.6625, 0.8375)  6 Rh 2.69-2.87, 1 Mg 2.86
Mg (0.5000, 0.8375, 0.3375)  6 Rh 2.69-2.87, 1 Mg 2.86
Mg (0.5000, 0.3375, 0.1625)  6 Rh 2.69-2.87, 1 Mg 2.86

Properties
Energy of formation = -535 meV/atom
Total energy = -54.65 eV/cell
N(E_F) = 5.0 states/eV/cell


(3)
Here is an optimized crystal structure of TlSiPb2 from Alexandria. Energies are from PBEsol.

Unit cell a=3.4738 b=4.4442 c=7.0532 alpha=90.00 beta=104.54 gamma=90.00
Closest atoms and distances in Å follow each position.
Positions (direct):
Pb (0.9300, 0.0000, 0.9864)  1 Si 3.01
Pb (0.5673, 0.5000, 0.2636)  2 Si 2.94
Si (0.7115, 0.0000, 0.5454)  3 Pb 2.94-3.01, 4 Tl 3.02-3.03
Tl (0.2911, 0.5000, 0.7046)  4 Si 3.02-3.03

Properties
Total energy = -15.24 eV/cell
ΔE_f (raw) = 0.28 eV/atom
N(E_F) = 1.7 states/eV/cell